This record from Alexandria via LeMat-Bulk describes a relaxed structure of ReNiRu. The functional is PBE.

Cell lengths 4.611, 4.611, 4.613 Å; angles 99.09, 99.09, 120.55 degrees
Sites, in units of the cell vectors:
Re 0.000 0.000 0.000
Re 0.836 0.164 0.500
Ni 0.167 0.833 0.500
Ni 0.334 0.666 0.000
Ru 0.499 0.501 0.500
Ru 0.662 0.338 0.000

Magnetization: 0.0 μB/f.u.
ρ: 14.35 g cm⁻³
SG: C2, No. 5
Formation enthalpy at 0 K: 0.0048 eV per atom